1.
The following is a PBEsol calculation of a geometry-optimized Zn2Au structure, from the Alexandria database.

a = 5.1493 Å, b = 5.1493 Å, c = 6.4118 Å
α = 102.70°, β = 102.70°, γ = 32.95°
With the nearest neighbours (Å) after each atom.
Fractional positions:
1 Zn 0.0000 0.0000 0.0000  4 Au 2.67-2.71, 8 Zn 2.69-2.92
2 Zn 0.0600 0.0600 0.6080  5 Au 2.71-2.73, 7 Zn 2.71-2.92
3 Zn 0.3791 0.3791 0.2719  4 Au 2.68-2.72, 8 Zn 2.75-2.92
4 Zn 0.7216 0.7216 0.9358  3 Au 2.66-2.69, 9 Zn 2.69-2.92
5 Au 0.3431 0.3431 0.6763  8 Zn 2.69-2.73, 4 Au 2.92-2.99
6 Au 0.6551 0.6551 0.3154  8 Zn 2.66-2.72, 2 Au 2.92

Computed properties:
For the total energy, the calculation gives -2.518 eV per atom.

=====

2.
The following is a PBEsol calculation of a geometry-optimized LiNb2Te structure, from the Alexandria database.

a = 10.6094 Å, b = 10.6094 Å, c = 10.6094 Å
α = 159.10°, β = 159.10°, γ = 29.73°
With the nearest neighbours (Å) after each atom.
Fractional positions:
1 Li 0.0000 0.0000 0.0000  4 Te 2.72, 4 Nb 2.91
2 Li 0.7500 0.2500 0.5000  4 Te 2.72, 4 Nb 2.91
3 Nb 0.1310 0.6250 0.0060  4 Nb 2.69-2.75, 2 Te 2.89, 2 Li 2.91
4 Nb 0.3750 0.3810 0.5060  4 Nb 2.69-2.75, 2 Te 2.89, 2 Li 2.91
5 Nb 0.6190 0.1250 0.9940  4 Nb 2.69-2.75, 2 Te 2.89, 2 Li 2.91
6 Nb 0.8750 0.8690 0.4940  4 Nb 2.69-2.75, 2 Te 2.89, 2 Li 2.91
7 Te 0.2500 0.7500 0.5000  4 Li 2.72, 4 Nb 2.89
8 Te 0.5000 0.5000 0.0000  4 Li 2.72, 4 Nb 2.89

Computed properties:
For the total energy, the calculation gives -6.587 eV per atom.

=====

3.
The following is a PBEsol calculation of a geometry-optimized Ca3Cu2Br2O4 structure, from the Alexandria database.

a = 11.9809 Å, b = 11.9809 Å, c = 11.9809 Å
α = 161.62°, β = 161.62°, γ = 26.10°
With the nearest neighbours (Å) after each atom.
Fractional positions:
1 Ca 0.0000 0.0000 0.0000  8 O 2.48
2 Ca 0.1331 0.1331 0.0000  4 O 2.44
3 Ca 0.8669 0.8669 0.0000  4 O 2.44
4 Cu 0.4346 0.4346 0.0000  4 O 1.91
5 Cu 0.5654 0.5654 0.0000  4 O 1.91
6 Br 0.3075 0.3075 0.0000  1 Cu 2.97, 4 Ca 3.04
7 Br 0.6925 0.6925 0.0000  1 Cu 2.97, 4 Ca 3.04
8 O 0.0679 0.5679 0.5000  2 Cu 1.91
9 O 0.4321 0.9321 0.5000  2 Cu 1.91
10 O 0.5679 0.0679 0.5000  2 Cu 1.91
11 O 0.9321 0.4321 0.5000  2 Cu 1.91

Computed properties:
For the total energy, the calculation gives -5.525 eV per atom.

=====

4.
The following is a PBEsol calculation of a geometry-optimized ZrSc2Co structure, from the Alexandria database.

a = 4.6615 Å, b = 4.6615 Å, c = 4.6615 Å
α = 60.00°, β = 60.00°, γ = 60.00°
With the nearest neighbours (Å) after each atom.
Fractional positions:
1 Zr 0.0000 0.0000 0.0000  4 Co 2.85, 4 Sc 2.85
2 Sc 0.2500 0.2500 0.2500  4 Zr 2.85, 4 Sc 2.85
3 Sc 0.5000 0.5000 0.5000  4 Co 2.85, 4 Sc 2.85
4 Co 0.7500 0.7500 0.7500  4 Zr 2.85, 4 Sc 2.85

Computed properties:
For the relative energy among the computed polymorphs, the calculation gives 0.269 eV per atom. For the total energy, the calculation gives -7.411 eV per atom.

=====

5.
The following is a PBEsol calculation of a geometry-optimized MgAlCu2 structure, from the Alexandria database.

a = 4.9019 Å, b = 4.9019 Å, c = 4.2573 Å
α = 111.42°, β = 111.42°, γ = 35.83°
With the nearest neighbours (Å) after each atom.
Fractional positions:
1 Mg 0.0000 0.0000 0.0000  7 Cu 2.59-2.74, 4 Al 2.84-2.89
2 Al 0.2235 0.2235 0.6815  7 Cu 2.55-2.84, 3 Mg 2.84-2.85
3 Cu 0.4846 0.4846 0.4923  2 Cu 2.50, 2 Al 2.55, 4 Mg 2.59-2.63
4 Cu 0.7576 0.7576 0.2126  2 Cu 2.50, 4 Al 2.62-2.63, 3 Mg 2.68-2.74

Computed properties:
For the total energy, the calculation gives -3.732 eV per atom.

=====

6.
The following is a PBEsol calculation of a geometry-optimized BePt2Se structure, from the Alexandria database.

a = 5.5214 Å, b = 5.5214 Å, c = 5.5214 Å
α = 150.43°, β = 135.65°, γ = 54.21°
With the nearest neighbours (Å) after each atom.
Fractional positions:
1 Be 0.0000 0.0000 0.0000  4 Pt 2.29, 4 Se 2.52
2 Pt 0.1843 0.6843 0.5000  2 Be 2.29
3 Pt 0.8157 0.3157 0.5000  2 Be 2.29
4 Se 0.5000 0.5000 0.0000  4 Be 2.52, 4 Pt 2.76

Computed properties:
For the relative energy among the computed polymorphs, the calculation gives 0.000 eV per atom. For the total energy, the calculation gives -5.523 eV per atom.